An optimized crystal structure of Ce2Ge3Ru. Source: the Alexandria database, functional PBE-GGA.

Values from the calculation:
ΔH_f (0 K)   -4.0 eV per formula unit
E above lowest polymorph   0.000 eV/atom

a = 5.9047 Å, b = 5.9047 Å, c = 8.3730 Å
α = 109.32°, β = 109.32°, γ = 93.55°
Closest atoms and distances in Å follow each position.
Positions (direct):
Ce: 0.2500 0.7500 0.5000  8 Ge 3.16-3.18, 4 Ru 3.22
Ce: 0.7387 0.7387 0.0000  2 Ru 3.07, 10 Ge 3.15-3.26
Ce: 0.7500 0.2500 0.5000  8 Ge 3.16-3.18, 4 Ru 3.22
Ce: 0.2613 0.2613 0.0000  2 Ru 3.07, 10 Ge 3.15-3.26
Ge: 0.6673 0.1639 0.8311  1 Ru 2.45, 2 Ge 2.47-2.48
Ge: 0.8361 0.3327 0.1689  1 Ru 2.45, 2 Ge 2.47-2.48
Ge: 0.3327 0.8361 0.1689  1 Ru 2.45, 2 Ge 2.47-2.48
Ge: 0.1639 0.6673 0.8311  1 Ru 2.45, 2 Ge 2.47-2.48
Ge: 0.8304 0.8304 0.6609  1 Ru 2.46, 2 Ge 2.47
Ge: 0.1696 0.1696 0.3391  1 Ru 2.46, 2 Ge 2.47
Ru: 0.3371 0.3371 0.6742  3 Ge 2.45-2.46
Ru: 0.6629 0.6629 0.3258  3 Ge 2.45-2.46


An optimized crystal structure of Ce2Ge4Ru3. Source: the Alexandria database, functional PBE-GGA.

Values from the calculation:
ΔH_f (0 K)   -5.4 eV per formula unit
E above lowest polymorph   0.000 eV/atom

a = 5.9169 Å, b = 7.3822 Å, c = 7.9664 Å
α = 90.00°, β = 111.80°, γ = 90.00°
Closest atoms and distances in Å follow each position.
Positions (direct):
Ce: 0.1131 0.5904 0.2261  2 Ru 3.01, 8 Ge 3.03-3.16
Ce: 0.8869 0.4096 0.7739  2 Ru 3.01, 8 Ge 3.03-3.16
Ce: 0.3869 0.0904 0.7739  2 Ru 3.01, 8 Ge 3.03-3.16
Ce: 0.6131 0.9096 0.2261  2 Ru 3.01, 8 Ge 3.03-3.16
Ge: 0.6931 0.7500 0.8861  3 Ru 2.51-2.54
Ge: 0.8069 0.2500 0.1139  3 Ru 2.51-2.54
Ge: 0.3069 0.2500 0.1139  3 Ru 2.51-2.54
Ge: 0.1931 0.7500 0.8861  3 Ru 2.51-2.54
Ge: 0.1804 0.9788 0.3607  5 Ru 2.59-2.67
Ge: 0.8196 0.0212 0.6393  5 Ru 2.59-2.67
Ge: 0.3196 0.4788 0.6393  5 Ru 2.59-2.67
Ge: 0.6804 0.5212 0.3607  5 Ru 2.59-2.67
Ru: 0.0000 0.0000 0.0000  6 Ge 2.51-2.67
Ru: 0.5000 0.5000 0.0000  6 Ge 2.51-2.67
Ru: 0.5212 0.7500 0.5425  5 Ge 2.54-2.62
Ru: 0.9788 0.2500 0.4575  5 Ge 2.54-2.62
Ru: 0.4788 0.2500 0.4575  5 Ge 2.54-2.62
Ru: 0.0212 0.7500 0.5425  5 Ge 2.54-2.62


An optimized crystal structure of Ce3GeRu. Source: the Alexandria database, functional PBE-GGA.

Values from the calculation:
ΔH_f (0 K)   -2.3 eV per formula unit

a = 4.4403 Å, b = 5.8847 Å, c = 10.0015 Å
α = 82.03°, β = 90.01°, γ = 67.83°
Closest atoms and distances in Å follow each position.
Positions (direct):
Ce: 0.2559 0.8776 0.5832  1 Ru 2.74
Ce: 0.5104 0.3689 0.3672  2 Ru 2.90, 2 Ce 3.02, 2 Ge 3.21
Ce: 0.5600 0.2699 0.8001  1 Ru 2.74
Ce: 0.3055 0.7786 0.0162  2 Ru 2.90, 2 Ce 3.02, 2 Ge 3.21
Ce: 0.8223 0.7449 0.3084  3 Ru 2.80, 2 Ce 3.02, 1 Ge 3.04
Ce: 0.9936 0.4026 0.0749  3 Ru 2.80, 2 Ce 3.02, 1 Ge 3.04
Ge: 0.9738 0.4420 0.5897  1 Ge 2.66
Ge: 0.8419 0.7056 0.7936  1 Ge 2.66
Ru: 0.6489 0.0918 0.0713  6 Ce 2.74-2.90
Ru: 0.1670 0.0557 0.3120  6 Ce 2.74-2.90


An optimized crystal structure of CeGeRu2. Source: the Alexandria database, functional PBE-GGA.

Values from the calculation:
ΔH_f (0 K)   -1.5 eV per formula unit
E above lowest polymorph   0.086 eV/atom

a = 4.5958 Å, b = 4.5958 Å, c = 4.5958 Å
α = 60.00°, β = 60.00°, γ = 60.00°
Closest atoms and distances in Å follow each position.
Positions (direct):
Ru: 0.2500 0.2500 0.2500  4 Ce 2.81, 4 Ge 2.81
Ru: 0.7500 0.7500 0.7500  4 Ge 2.81, 4 Ce 2.81
Ge: 0.5000 0.5000 0.5000  8 Ru 2.81
Ce: 0.0000 0.0000 0.0000  8 Ru 2.81


An optimized crystal structure of Ce4Ge3Ru2. Source: the Alexandria database, functional PBE-GGA.

Values from the calculation:
ΔH_f (0 K)   -5.1 eV per formula unit

a = 4.3906 Å, b = 6.2255 Å, c = 7.5949 Å
α = 99.54°, β = 106.80°, γ = 90.00°
Closest atoms and distances in Å follow each position.
Positions (direct):
Ce: 0.5600 0.3214 0.1200  2 Ru 2.72-3.01, 2 Ge 3.00
Ce: 0.7868 0.7975 0.5736  1 Ru 2.55
Ce: 0.4400 0.6786 0.8800  2 Ru 2.72-3.01, 2 Ge 3.00
Ce: 0.2132 0.2025 0.4264  1 Ru 2.55
Ge: 0.8734 0.3354 0.7468  2 Ru 2.59
Ge: 0.1266 0.6646 0.2532  2 Ru 2.59
Ge: 0.0000 0.0000 0.0000  4 Ru 2.99, 6 Ce 3.00-3.14, 2 Ge 3.01
Ru: 0.3785 0.1167 0.7570  2 Ce 2.55-2.72, 2 Ge 2.59
Ru: 0.6215 0.8833 0.2430  2 Ce 2.55-2.72, 2 Ge 2.59


An optimized crystal structure of Ce5GeRu. Source: the Alexandria database, functional PBE-GGA.

Values from the calculation:
ΔH_f (0 K)   -1.9 eV per formula unit

a = 6.1294 Å, b = 6.1294 Å, c = 9.5264 Å
α = 82.36°, β = 82.36°, γ = 88.81°
Closest atoms and distances in Å follow each position.
Positions (direct):
Ce: 0.0070 0.6261 0.1764  1 Ru 2.66, 1 Ce 2.83
Ce: 0.2040 0.4319 0.5388  2 Ce 2.78-2.83, 2 Ge 3.01-3.03, 1 Ru 3.04
Ce: 0.6261 0.0070 0.6764  1 Ru 2.66, 1 Ce 2.83
Ce: 0.8409 0.1591 0.2500  2 Ru 2.74, 2 Ce 3.02
Ce: 0.5681 0.7960 0.9612  2 Ce 2.78-2.83, 2 Ge 3.01-3.03, 1 Ru 3.04
Ce: 0.4319 0.2040 0.0388  2 Ce 2.78-2.83, 2 Ge 3.01-3.03, 1 Ru 3.04
Ce: 0.1591 0.8409 0.7500  2 Ru 2.74, 2 Ce 3.02
Ce: 0.3739 0.9930 0.3236  1 Ru 2.66, 1 Ce 2.83
Ce: 0.7960 0.5681 0.4612  2 Ce 2.78-2.83, 2 Ge 3.01-3.03, 1 Ru 3.04
Ce: 0.9930 0.3739 0.8236  1 Ru 2.66, 1 Ce 2.83
Ge: 0.4816 0.5184 0.2500  9 Ce 3.01-3.27
Ge: 0.5184 0.4816 0.7500  9 Ce 3.01-3.27
Ru: 0.0000 0.0000 0.0000  4 Ce 2.66-2.74
Ru: 0.0000 0.0000 0.5000  4 Ce 2.66-2.74


no.,uncorrected energy (eV/atom),magnetization (Bohr magnetons per cell),N(E_F) (states/eV/atom)
1,-6.492,1.45,1.276
2,-7.068,0.00,0.996
3,-6.806,2.17,2.167
4,-7.660,0.16,0.533
5,-6.809,0.46,1.380
6,-6.500,0.00,2.426